1.
DFT (PBE-GGA) results for an optimized crystal structure of PuGeBi.

Calculated values
- Fermi-level density of states: 8.56 states/eV/f.u.
- Raw total energy: -47.6 eV/cell
- Total magnetization: 10.60 μB/cell
- Space-group type: Cmcm

POSCAR file:
```
PuGeBi
1.0
4.186 0.000 0.000
0.000 4.605 0.000
0.000 -2.302 7.971
Bi Pu Ge
2 2 2
Cartesian
1.047 2.302 3.893 Bi
3.140 0.000 4.078 Bi
3.140 2.302 6.574 Pu
1.047 0.000 1.397 Pu
1.047 0.000 7.141 Ge
3.140 2.302 0.830 Ge
```



2.
DFT (PBE-GGA) results for an optimized crystal structure of PuGe4Bi.

Calculated values
- Fermi-level density of states: 6.40 states/eV/f.u.
- Raw total energy: -36.9 eV/cell
- Total magnetization: 5.84 μB/cell
- Space-group type: F-43m

POSCAR file:
```
PuGe4Bi
1.0
5.668 0.000 0.000
2.834 4.909 0.000
2.834 1.636 4.628
Pu Bi Ge
1 1 4
Cartesian
0.000 0.000 0.000 Pu
2.834 1.636 1.157 Bi
4.258 4.087 2.890 Ge
7.079 4.087 2.890 Ge
5.669 1.644 2.890 Ge
5.669 3.273 0.586 Ge
```



3.
DFT (PBE-GGA) results for an optimized crystal structure of PuGe2Bi.

Calculated values
- Fermi-level density of states: 9.37 states/eV/f.u.
- Raw total energy: -28.4 eV/cell
- Total magnetization: 5.20 μB/cell
- Space-group type: P4/mmm

POSCAR file:
```
PuGe2Bi
1.0
4.332 0.000 0.000
0.000 4.606 0.000
0.000 0.000 4.606
Ge Bi Pu
2 1 1
Cartesian
0.000 2.303 0.000 Ge
0.000 0.000 2.303 Ge
2.166 0.000 0.000 Bi
2.166 2.303 2.303 Pu
```



4.
DFT (PBE-GGA) results for an optimized crystal structure of PuGeBi.

Calculated values
- Fermi-level density of states: 10.52 states/eV/f.u.
- Raw total energy: -47.4 eV/cell
- Total magnetization: 11.41 μB/cell
- Space-group type: Cmcm

POSCAR file:
```
PuGeBi
1.0
4.105 0.000 0.000
0.000 4.082 0.000
0.000 2.041 9.235
Ge Pu Bi
2 2 2
Cartesian
1.026 4.082 8.466 Ge
3.079 2.041 0.770 Ge
1.026 4.082 1.732 Pu
3.079 2.041 7.503 Pu
1.026 4.082 5.544 Bi
3.079 2.041 3.691 Bi
```



5.
DFT (PBE-GGA) results for an optimized crystal structure of Pu12Ge5Bi.

Calculated values
- Fermi-level density of states: 87.89 states/eV/f.u.
- Raw total energy: -202.1 eV/cell
- Total magnetization: 24.09 μB/cell
- Space-group type: Immm

POSCAR file:
```
Pu12Ge5Bi
1.0
1.188 8.165 -1.787
-1.689 -5.093 -6.517
-6.914 -1.384 4.641
Bi Ge Pu
1 5 12
Cartesian
-4.302 -3.239 -0.938 Bi
-0.180 1.104 -2.984 Ge
-3.947 2.574 1.191 Ge
-0.321 1.968 -5.320 Ge
0.000 0.000 0.000 Ge
-3.469 -0.887 -4.853 Ge
-3.149 -3.818 -4.227 Pu
-5.282 2.603 -1.557 Pu
-2.134 -0.916 -2.106 Pu
-4.340 -0.140 0.210 Pu
-1.642 2.397 -0.744 Pu
-7.493 -2.514 -0.477 Pu
-4.268 5.505 0.565 Pu
-5.774 -0.710 -2.919 Pu
0.077 4.201 -3.186 Pu
-3.076 1.828 -3.873 Pu
-6.671 -4.331 -3.095 Pu
-0.745 6.019 -0.568 Pu
```



6.
DFT (PBE-GGA) results for an optimized crystal structure of Pu6GeBi.

Calculated values
- Fermi-level density of states: 34.33 states/eV/f.u.
- Raw total energy: -96.0 eV/cell
- Total magnetization: 35.70 μB/cell
- Space-group type: P4/mmm

POSCAR file:
```
Pu6GeBi
1.0
4.701 0.000 0.000
0.000 4.701 0.000
0.000 0.000 9.357
Pu Ge Bi
6 1 1
Cartesian
2.351 2.351 4.679 Pu
2.351 0.000 2.498 Pu
2.351 2.351 0.000 Pu
0.000 2.351 6.859 Pu
2.351 0.000 6.859 Pu
0.000 2.351 2.498 Pu
0.000 0.000 4.679 Ge
0.000 0.000 0.000 Bi
```



7.
DFT (PBE-GGA) results for an optimized crystal structure of Pu5Ge2Bi.

Calculated values
- Fermi-level density of states: 25.37 states/eV/f.u.
- Raw total energy: -165.5 eV/cell
- Total magnetization: 16.04 μB/cell
- Space-group type: I4/mcm

POSCAR file:
```
Pu5Ge2Bi
1.0
8.115 0.000 0.000
0.000 8.115 0.000
-4.058 -4.058 5.616
Pu Ge Bi
10 4 2
Cartesian
-1.131 2.927 2.445 Pu
2.927 -1.131 3.171 Pu
-1.131 5.189 3.171 Pu
1.131 5.189 2.445 Pu
4.058 4.058 0.000 Pu
5.189 1.131 3.171 Pu
5.189 -1.131 2.445 Pu
1.131 2.927 3.171 Pu
0.000 0.000 0.000 Pu
2.927 1.131 2.445 Pu
7.070 5.103 0.000 Ge
3.012 7.070 0.000 Ge
5.103 1.046 0.000 Ge
1.046 3.012 0.000 Ge
0.000 0.000 2.808 Bi
4.058 4.058 2.808 Bi
```



8.
DFT (PBE-GGA) results for an optimized crystal structure of Pu12Ge6Bi.

Calculated values
- Fermi-level density of states: 81.96 states/eV/f.u.
- Raw total energy: -207.6 eV/cell
- Total magnetization: 69.50 μB/cell
- Space-group type: Im-3

POSCAR file:
```
Pu12Ge6Bi
1.0
8.564 0.000 0.000
-2.855 8.074 0.000
-2.855 -4.037 6.992
Pu Ge Bi
12 6 1
Cartesian
2.392 1.013 5.625 Pu
-0.463 0.327 3.303 Pu
-3.013 2.130 6.425 Pu
-0.158 -2.593 5.625 Pu
3.013 6.630 1.368 Pu
5.246 -1.341 5.058 Pu
3.318 3.710 3.690 Pu
2.696 0.462 1.935 Pu
5.867 1.907 0.567 Pu
0.463 3.024 1.368 Pu
0.158 3.575 5.058 Pu
-2.392 5.378 1.935 Pu
2.150 -1.520 4.359 Ge
3.559 3.539 0.863 Ge
-0.705 0.498 6.129 Ge
0.705 5.557 2.633 Ge
5.005 1.022 3.496 Ge
-2.150 3.015 3.496 Ge
0.000 0.000 0.000 Bi
```



9.
DFT (PBE-GGA) results for an optimized crystal structure of Pu4GeBi3.

Calculated values
- Fermi-level density of states: 32.06 states/eV/f.u.
- Raw total energy: -76.4 eV/cell
- Total magnetization: 0.77 μB/cell
- Space-group type: P4/mmm

POSCAR file:
```
Pu4GeBi3
1.0
3.549 0.000 0.000
0.000 3.549 0.000
0.000 0.000 17.262
Pu Bi Ge
4 3 1
Cartesian
0.000 0.000 1.771 Pu
0.000 0.000 15.491 Pu
0.000 0.000 6.377 Pu
0.000 0.000 10.885 Pu
1.775 1.775 4.116 Bi
1.775 1.775 13.146 Bi
1.775 1.775 8.631 Bi
1.775 1.775 0.000 Ge
```



10.
DFT (PBE-GGA) results for an optimized crystal structure of PuGeBi2.

Calculated values
- Fermi-level density of states: 9.32 states/eV/f.u.
- Raw total energy: -26.1 eV/cell
- Total magnetization: 6.01 μB/cell
- Space-group type: R-3m

POSCAR file:
```
PuGeBi2
1.0
3.384 0.000 0.000
1.692 2.931 0.000
1.692 0.977 11.760
Ge Bi Pu
1 2 1
Cartesian
0.000 0.000 0.000 Ge
5.076 2.931 3.067 Bi
1.692 0.977 8.693 Bi
3.384 1.954 5.880 Pu
```



11.
DFT (PBE-GGA) results for an optimized crystal structure of Pu3Ge2Bi.

Calculated values
- Fermi-level density of states: 21.03 states/eV/f.u.
- Raw total energy: -58.3 eV/cell
- Total magnetization: 6.43 μB/cell
- Space-group type: P4/mmm

POSCAR file:
```
Pu3Ge2Bi
1.0
3.854 0.000 0.000
0.000 3.854 0.000
0.000 0.000 9.548
Ge Pu Bi
2 3 1
Cartesian
1.927 1.927 8.187 Ge
1.927 1.927 1.361 Ge
0.000 0.000 2.790 Pu
0.000 0.000 6.758 Pu
0.000 0.000 0.000 Pu
1.927 1.927 4.774 Bi
```



12.
DFT (PBE-GGA) results for an optimized crystal structure of PuGe2Bi.

Calculated values
- Fermi-level density of states: 9.11 states/eV/f.u.
- Raw total energy: -27.7 eV/cell
- Total magnetization: 5.36 μB/cell
- Space-group type: P4/mmm

POSCAR file:
```
PuGe2Bi
1.0
-0.438 0.094 -3.887
-3.888 0.021 0.439
0.050 6.239 0.145
Pu Ge Bi
1 2 1
Cartesian
-2.138 3.177 -1.651 Pu
0.036 4.505 0.105 Ge
0.014 1.734 0.040 Ge
-2.163 0.057 -1.724 Bi
```



Number 1: ρ 11.36 Mg/m³. Number 2: ρ 9.59 Mg/m³. Number 3: ρ 10.81 Mg/m³. Number 4: ρ 11.28 Mg/m³. Number 5: ρ 12.86 Mg/m³. Number 6: ρ 14.02 Mg/m³. Number 7: ρ 14.13 Mg/m³. Number 8: ρ 12.27 Mg/m³. Number 9: ρ 12.80 Mg/m³. Number 10: ρ 10.46 Mg/m³. Number 11: ρ 12.72 Mg/m³. Number 12: ρ 10.40 Mg/m³.